{
  "formula": "La8Tl2Ge",
  "functional": "PBE-GGA",
  "state": "optimized geometry",
  "crystal_system": "monoclinic",
  "lattice_angstrom": [[5.224, 0.000, -1.410], [-0.501, 6.842, -1.857], [-0.064, -0.261, 10.143]],
  "species": ["Tl", "Tl", "Ge", "La", "La", "La", "La", "La", "La", "La", "La"],
  "fractional_positions": [[0.171, 0.732, 0.342], [0.829, 0.268, 0.658], [0.500, 0.000, 0.000], [0.587, 0.458, 0.174], [0.346, 0.014, 0.693], [0.213, 0.306, 0.426], [0.999, 0.768, 0.999], [0.787, 0.694, 0.574], [0.654, 0.986, 0.307], [0.413, 0.542, 0.826], [0.001, 0.232, 0.001]]
}

***

{
  "formula": "V6CrIr",
  "functional": "PBE-GGA",
  "state": "optimized geometry",
  "crystal_system": "trigonal",
  "lattice_angstrom": [[5.179, -0.764, -0.864], [-1.325, 5.064, -0.864], [-1.325, -1.479, 4.920]],
  "species": ["V", "V", "V", "V", "V", "V", "Cr", "Ir"],
  "fractional_positions": [[0.253, 0.747, 0.253], [0.253, 0.253, 0.747], [0.747, 0.253, 0.747], [0.253, 0.747, 0.747], [0.747, 0.747, 0.253], [0.747, 0.253, 0.253], [0.500, 0.500, 0.500], [0.000, 0.000, 0.000]]
}

***

{
  "formula": "SrLi4CdIn2",
  "functional": "PBE-GGA",
  "state": "optimized geometry",
  "crystal_system": "trigonal",
  "lattice_angstrom": [[4.787, 0.000, 0.000], [2.393, 4.146, 0.000], [2.393, 1.382, 9.209]],
  "species": ["Sr", "Li", "Li", "Li", "Li", "Cd", "In", "In"],
  "fractional_positions": [[0.000, 0.000, 0.000], [0.404, 0.404, 0.788], [0.867, 0.867, 0.399], [0.133, 0.133, 0.601], [0.596, 0.596, 0.212], [0.500, 0.500, 0.500], [0.757, 0.757, 0.729], [0.243, 0.243, 0.271]]
}

***

{
  "formula": "ErGe",
  "functional": "PBE-GGA",
  "state": "optimized geometry",
  "crystal_system": "orthorhombic",
  "lattice_angstrom": [[-4.240, 0.378, 0.011], [-0.488, -5.367, -3.528], [1.820, -3.741, 5.440]],
  "species": ["Ge", "Ge", "Ge", "Ge", "Er", "Er", "Er", "Er"],
  "fractional_positions": [[0.897, 0.045, 0.793], [0.103, 0.955, 0.207], [0.103, 0.545, 0.207], [0.897, 0.455, 0.793], [0.724, 0.750, 0.448], [0.276, 0.250, 0.552], [0.454, 0.750, 0.907], [0.546, 0.250, 0.093]]
}

***

Per-record ΔE_f, kJ per mole of atoms: -29.9; 2.5; -23.0; -80.6